No. 1
First-principles (GGA-PBE) data for a relaxed structure of K2LiSn3O8, as listed in Alexandria.

Unit cell a=7.569 b=7.569 c=7.569 alpha=50.13 beta=50.13 gamma=50.13
Positions (direct):
K  0.000  0.000  0.000
K  0.363  0.363  0.363
Li  0.550  0.550  0.550
Sn  0.002  0.002  0.505
Sn  0.002  0.505  0.002
Sn  0.505  0.002  0.002
O  0.207  0.733  0.733
O  0.227  0.227  0.227
O  0.263  0.263  0.813
O  0.263  0.813  0.263
O  0.733  0.207  0.733
O  0.733  0.733  0.207
O  0.780  0.780  0.780
O  0.813  0.263  0.263

Computed properties:
Crystal system = trigonal
ΔE_f (raw) = -1.582 eV/atom

=====

No. 2
First-principles (GGA-PBE) data for a relaxed structure of KSrLiO2, as listed in Alexandria.

Unit cell a=4.797 b=4.797 c=5.554 alpha=90.00 beta=90.00 gamma=90.00
Positions (direct):
K  0.000  0.000  0.000
Sr  0.000  0.000  0.500
Li  0.500  0.500  0.000
O  0.000  0.500  0.500
O  0.500  0.000  0.500

Computed properties:
Crystal system = tetragonal
ΔE_f (raw) = -0.475 eV/atom

=====

No. 3
First-principles (GGA-PBE) data for a relaxed structure of KLiTaO4, as listed in Alexandria.

Unit cell a=5.830 b=5.830 c=5.830 alpha=121.40 beta=121.40 gamma=87.59
Positions (direct):
K  0.000  0.000  0.000
Li  0.250  0.750  0.500
Ta  0.500  0.500  0.000
O  0.256  0.619  0.123
O  0.381  0.504  0.636
O  0.496  0.133  0.877
O  0.867  0.744  0.364

Computed properties:
Crystal system = tetragonal
ΔE_f (raw) = -2.095 eV/atom

=====

No. 4
First-principles (GGA-PBE) data for a relaxed structure of KLi2Ta2O7, as listed in Alexandria.

Unit cell a=9.610 b=9.610 c=9.610 alpha=155.96 beta=155.96 gamma=34.26
Positions (direct):
K  0.000  0.000  0.000
Li  0.250  0.750  0.500
Li  0.750  0.250  0.500
Ta  0.386  0.386  0.000
Ta  0.614  0.614  0.000
O  0.110  0.610  0.500
O  0.282  0.282  0.000
O  0.390  0.890  0.500
O  0.500  0.500  0.000
O  0.610  0.110  0.500
O  0.718  0.718  0.000
O  0.890  0.390  0.500

Computed properties:
Crystal system = orthorhombic
ΔE_f (raw) = -2.426 eV/atom

=====

No. 5
First-principles (GGA-PBE) data for a relaxed structure of KLi2TaO4, as listed in Alexandria.

Unit cell a=5.365 b=5.365 c=5.365 alpha=118.33 beta=118.33 gamma=92.92
Positions (direct):
K  0.000  0.000  0.000
Li  0.250  0.750  0.500
Li  0.750  0.250  0.500
Ta  0.500  0.500  0.000
O  0.156  0.545  0.000
O  0.455  0.455  0.611
O  0.545  0.156  0.000
O  0.844  0.844  0.389

Computed properties:
Crystal system = tetragonal
ΔE_f (raw) = -2.369 eV/atom

=====

No. 6
First-principles (GGA-PBE) data for a relaxed structure of KLiTb2O4, as listed in Alexandria.

Unit cell a=6.072 b=6.072 c=11.682 alpha=90.00 beta=90.00 gamma=146.67
Positions (direct):
K  0.098  0.902  0.750
K  0.902  0.098  0.250
Li  0.179  0.821  0.250
Li  0.821  0.179  0.750
Tb  0.366  0.634  0.559
Tb  0.366  0.634  0.941
Tb  0.634  0.366  0.059
Tb  0.634  0.366  0.441
O  0.000  0.000  0.000
O  0.000  0.000  0.500
O  0.252  0.748  0.102
O  0.252  0.748  0.398
O  0.405  0.595  0.750
O  0.595  0.405  0.250
O  0.748  0.252  0.602
O  0.748  0.252  0.898

Computed properties:
Crystal system = orthorhombic
ΔE_f (raw) = -2.834 eV/atom

=====

No. 7
First-principles (GGA-PBE) data for a relaxed structure of KLi2TcO4, as listed in Alexandria.

Unit cell a=5.346 b=5.346 c=5.346 alpha=118.61 beta=118.61 gamma=92.42
Positions (direct):
K  0.000  0.000  0.000
Li  0.250  0.750  0.500
Li  0.750  0.250  0.500
Tc  0.500  0.500  0.000
O  0.157  0.542  0.000
O  0.458  0.458  0.615
O  0.542  0.157  0.000
O  0.843  0.843  0.385

Computed properties:
Crystal system = tetragonal
ΔE_f (raw) = -1.657 eV/atom

=====

No. 8
First-principles (GGA-PBE) data for a relaxed structure of KLiTcO4, as listed in Alexandria.

Unit cell a=5.853 b=5.853 c=5.853 alpha=121.48 beta=121.48 gamma=87.45
Positions (direct):
K  0.000  0.000  0.000
Li  0.500  0.500  0.000
Tc  0.250  0.750  0.500
O  0.259  0.648  0.158
O  0.352  0.511  0.611
O  0.489  0.100  0.842
O  0.900  0.741  0.389

Computed properties:
Crystal system = tetragonal
ΔE_f (raw) = -1.667 eV/atom

=====

No. 9
First-principles (GGA-PBE) data for a relaxed structure of KLiTc2O6, as listed in Alexandria.

Unit cell a=7.497 b=7.497 c=5.541 alpha=90.00 beta=90.00 gamma=115.31
Positions (direct):
K  0.138  0.862  0.750
K  0.862  0.138  0.250
Li  0.303  0.697  0.250
Li  0.697  0.303  0.750
Tc  0.222  0.399  0.750
Tc  0.399  0.222  0.250
Tc  0.601  0.778  0.750
Tc  0.778  0.601  0.250
O  0.013  0.605  0.250
O  0.216  0.216  0.000
O  0.216  0.216  0.500
O  0.393  0.607  0.525
O  0.393  0.607  0.975
O  0.395  0.987  0.250
O  0.605  0.013  0.750
O  0.607  0.393  0.025
O  0.607  0.393  0.475
O  0.784  0.784  0.000
O  0.784  0.784  0.500
O  0.987  0.395  0.750

Computed properties:
Crystal system = orthorhombic
ΔE_f (raw) = -1.563 eV/atom

=====

No. 10
First-principles (GGA-PBE) data for a relaxed structure of K2Li2TcO6, as listed in Alexandria.

Unit cell a=5.350 b=5.350 c=6.507 alpha=99.95 beta=99.95 gamma=118.50
Positions (direct):
K  0.174  0.826  0.000
K  0.826  0.174  0.000
Li  0.344  0.656  0.500
Li  0.656  0.344  0.500
Tc  0.000  0.000  0.500
O  0.059  0.355  0.679
O  0.228  0.228  0.334
O  0.355  0.059  0.679
O  0.645  0.941  0.321
O  0.772  0.772  0.666
O  0.941  0.645  0.321

Computed properties:
Crystal system = monoclinic
ΔE_f (raw) = -1.440 eV/atom

=====

No. 11
First-principles (GGA-PBE) data for a relaxed structure of KLi2Tc2O7, as listed in Alexandria.

Unit cell a=9.348 b=9.348 c=9.348 alpha=156.04 beta=156.04 gamma=34.13
Positions (direct):
K  0.000  0.000  0.000
Li  0.250  0.750  0.500
Li  0.750  0.250  0.500
Tc  0.389  0.389  0.000
Tc  0.611  0.611  0.000
O  0.111  0.611  0.500
O  0.283  0.283  0.000
O  0.389  0.889  0.500
O  0.500  0.500  0.000
O  0.611  0.111  0.500
O  0.717  0.717  0.000
O  0.889  0.389  0.500

Computed properties:
Crystal system = tetragonal
ΔE_f (raw) = -1.644 eV/atom

=====

No. 12
First-principles (GGA-PBE) data for a relaxed structure of KLiTc2O8, as listed in Alexandria.

Unit cell a=6.606 b=6.606 c=7.287 alpha=115.66 beta=115.66 gamma=50.54
Positions (direct):
K  0.000  0.000  0.000
Li  0.500  0.500  0.500
Tc  0.193  0.193  0.667
Tc  0.807  0.807  0.333
O  0.130  0.631  0.296
O  0.172  0.172  0.414
O  0.355  0.355  0.846
O  0.369  0.870  0.704
O  0.631  0.130  0.296
O  0.645  0.645  0.154
O  0.828  0.828  0.586
O  0.870  0.369  0.704

Computed properties:
Crystal system = monoclinic
ΔE_f (raw) = -1.628 eV/atom

=====

No. 13
First-principles (GGA-PBE) data for a relaxed structure of K3LiTc2O8, as listed in Alexandria.

Unit cell a=5.929 b=5.929 c=7.664 alpha=90.00 beta=90.00 gamma=120.00
Positions (direct):
K  0.000  0.000  0.000
K  0.333  0.667  0.657
K  0.667  0.333  0.343
Li  0.000  0.000  0.500
Tc  0.333  0.667  0.226
Tc  0.667  0.333  0.774
O  0.171  0.342  0.316
O  0.171  0.829  0.316
O  0.333  0.667  0.995
O  0.342  0.171  0.684
O  0.658  0.829  0.316
O  0.667  0.333  0.005
O  0.829  0.171  0.684
O  0.829  0.658  0.684

Computed properties:
Crystal system = trigonal
ΔE_f (raw) = -1.664 eV/atom

=====

No. 14
First-principles (GGA-PBE) data for a relaxed structure of KLiTeO4, as listed in Alexandria.

Unit cell a=5.570 b=5.570 c=5.570 alpha=117.70 beta=117.70 gamma=94.03
Positions (direct):
K  0.000  0.000  0.000
Li  0.750  0.250  0.500
Te  0.500  0.500  0.000
O  0.137  0.224  0.638
O  0.502  0.863  0.087
O  0.585  0.498  0.362
O  0.776  0.415  0.913

Computed properties:
Crystal system = tetragonal
ΔE_f (raw) = -1.455 eV/atom

=====

No. 15
First-principles (GGA-PBE) data for a relaxed structure of K3LiTe2O9, as listed in Alexandria.

Unit cell a=5.749 b=5.749 c=7.224 alpha=90.00 beta=90.00 gamma=120.00
Positions (direct):
K  0.000  0.000  0.000
K  0.333  0.667  0.650
K  0.667  0.333  0.350
Li  0.000  0.000  0.500
Te  0.333  0.667  0.167
Te  0.667  0.333  0.833
O  0.000  0.500  0.000
O  0.174  0.348  0.311
O  0.174  0.826  0.311
O  0.348  0.174  0.689
O  0.500  0.000  0.000
O  0.500  0.500  0.000
O  0.652  0.826  0.311
O  0.826  0.174  0.689
O  0.826  0.652  0.689

Computed properties:
Crystal system = trigonal
ΔE_f (raw) = -1.160 eV/atom

=====

No. 16
First-principles (GGA-PBE) data for a relaxed structure of KLi3Te4O12, as listed in Alexandria.

Unit cell a=6.817 b=6.817 c=6.817 alpha=109.47 beta=109.47 gamma=109.47
Positions (direct):
K  0.000  0.000  0.000
Li  0.000  0.500  0.500
Li  0.500  0.000  0.500
Li  0.500  0.500  0.000
Te  0.000  0.000  0.500
Te  0.000  0.500  0.000
Te  0.500  0.000  0.000
Te  0.500  0.500  0.500
O  0.115  0.305  0.810
O  0.190  0.495  0.305
O  0.190  0.885  0.695
O  0.305  0.190  0.495
O  0.305  0.810  0.115
O  0.495  0.305  0.190
O  0.505  0.695  0.810
O  0.695  0.190  0.885
O  0.695  0.810  0.505
O  0.810  0.115  0.305
O  0.810  0.505  0.695
O  0.885  0.695  0.190

Computed properties:
Crystal system = cubic
ΔE_f (raw) = -1.236 eV/atom

=====

No. 17
First-principles (GGA-PBE) data for a relaxed structure of KLiTe2O8, as listed in Alexandria.

Unit cell a=5.519 b=5.519 c=6.651 alpha=90.00 beta=90.00 gamma=120.00
Positions (direct):
K  0.000  0.000  0.000
Li  0.000  0.000  0.500
Te  0.333  0.667  0.446
Te  0.667  0.333  0.554
O  0.052  0.368  0.630
O  0.316  0.948  0.630
O  0.333  0.667  0.157
O  0.368  0.316  0.370
O  0.632  0.684  0.630
O  0.667  0.333  0.843
O  0.684  0.052  0.370
O  0.948  0.632  0.370

Computed properties:
Crystal system = trigonal
ΔE_f (raw) = -0.836 eV/atom

=====

No. 18
First-principles (GGA-PBE) data for a relaxed structure of K2LiTe2O6, as listed in Alexandria.

Unit cell a=5.571 b=5.571 c=8.456 alpha=104.02 beta=104.02 gamma=78.87
Positions (direct):
K  0.216  0.216  0.244
K  0.784  0.784  0.756
Li  0.000  0.000  0.500
Te  0.377  0.377  0.775
Te  0.623  0.623  0.225
O  0.226  0.226  0.561
O  0.279  0.698  0.224
O  0.302  0.721  0.776
O  0.698  0.279  0.224
O  0.721  0.302  0.776
O  0.774  0.774  0.439

Computed properties:
Crystal system = monoclinic
ΔE_f (raw) = -1.241 eV/atom

=====

No. 19
First-principles (GGA-PBE) data for a relaxed structure of K3LiTe2O6, as listed in Alexandria.

Unit cell a=6.108 b=6.108 c=7.096 alpha=90.00 beta=90.00 gamma=120.00
Positions (direct):
K  0.000  0.000  0.000
K  0.333  0.667  0.638
K  0.667  0.333  0.362
Li  0.000  0.000  0.500
Te  0.333  0.667  0.174
Te  0.667  0.333  0.826
O  0.175  0.349  0.293
O  0.175  0.825  0.293
O  0.349  0.175  0.707
O  0.651  0.825  0.293
O  0.825  0.175  0.707
O  0.825  0.651  0.707

Computed properties:
Crystal system = trigonal
ΔE_f (raw) = -1.476 eV/atom

=====

No. 20
First-principles (GGA-PBE) data for a relaxed structure of K2LiTeO4, as listed in Alexandria.

Unit cell a=5.493 b=5.493 c=5.862 alpha=117.12 beta=117.12 gamma=88.60
Positions (direct):
K  0.000  0.000  0.000
K  0.749  0.251  0.500
Li  0.215  0.785  0.500
Te  0.483  0.517  0.000
O  0.189  0.534  0.089
O  0.295  0.190  0.593
O  0.466  0.811  0.911
O  0.810  0.705  0.407

Computed properties:
Crystal system = monoclinic
ΔE_f (raw) = -1.458 eV/atom

=====

No. 21
First-principles (GGA-PBE) data for a relaxed structure of K2Li2TeO6, as listed in Alexandria.

Unit cell a=5.429 b=5.429 c=6.081 alpha=90.00 beta=90.00 gamma=120.00
Positions (direct):
K  0.333  0.667  0.000
K  0.667  0.333  0.000
Li  0.333  0.667  0.500
Li  0.667  0.333  0.500
Te  0.000  0.000  0.500
O  0.000  0.299  0.324
O  0.000  0.701  0.676
O  0.299  0.000  0.324
O  0.299  0.299  0.676
O  0.701  0.000  0.676
O  0.701  0.701  0.324

Computed properties:
Crystal system = trigonal
ΔE_f (raw) = -1.306 eV/atom